(1)
# Pr12Y2In, optimized geometry, DFT PBE
data_Pr12Y2In
_chemical_formula_sum 'Pr24 Y4 In2'
_symmetry_space_group_name_H-M 'P 4/n b m'
_symmetry_Int_Tables_number 125
_cell_length_a 6.7933
_cell_length_b 6.7933
_cell_length_c 24.0553
_cell_angle_alpha 90.00
_cell_angle_beta 90.00
_cell_angle_gamma 90.00
loop_
_symmetry_equiv_pos_as_xyz
'x,y,z'
'-x,-y,-z'
'-y+1/2,x,z'
'y+1/2,-x,-z'
'-x+1/2,-y+1/2,z'
'x+1/2,y+1/2,-z'
'y,-x+1/2,z'
'-y,x+1/2,-z'
'x,-y+1/2,-z'
'-x,y+1/2,z'
'-y+1/2,-x+1/2,-z'
'y+1/2,x+1/2,z'
'-x+1/2,y,-z'
'x+1/2,-y,z'
'y,x,-z'
'-y,-x,z'
loop_
_atom_site_label
_atom_site_fract_x
_atom_site_fract_y
_atom_site_fract_z
_atom_site_occupancy
Pr1 0.0033 0.5033 0.0914 1
Pr2 0.0837 0.5837 0.5659 1
Pr3 0.2500 0.2500 0.1999 1
Pr4 0.2500 0.2500 0.3280 1
Y1 0.2500 0.7500 0.2525 1
In1 0.2500 0.7500 0.0000 1
# Fermi-level density of states: 1.235 states/eV per atom
# DFT formation energy: 0.22 eV/atom

***

(2)
# CaAl2Ir, optimized geometry, DFT PBE
data_CaAl2Ir
_chemical_formula_sum 'Ca1 Al2 Ir1'
_symmetry_space_group_name_H-M 'P 4/m m m'
_symmetry_Int_Tables_number 123
_symmetry_space_group_name_Hall '-P 4 2'
_cell_length_a 3.0304
_cell_length_b 3.0304
_cell_length_c 7.9929
_cell_angle_alpha 90.00
_cell_angle_beta 90.00
_cell_angle_gamma 90.00
loop_
_atom_site_label
_atom_site_fract_x
_atom_site_fract_y
_atom_site_fract_z
_atom_site_occupancy
Ca1 0.0000 0.0000 0.0000 1
Al1 0.5000 0.5000 0.3084 1
Ir1 0.0000 0.0000 0.5000 1
# Fermi-level density of states: 0.457 states/eV per atom
# DFT formation energy: -0.50 eV/atom

***

(3)
# Nd5Sm2Te4, optimized geometry, DFT PBE
data_Nd5Sm2Te4
_chemical_formula_sum 'Nd10 Sm4 Te8'
_symmetry_space_group_name_H-M 'C 1 2/m 1'
_symmetry_Int_Tables_number 12
_cell_length_a 25.3857
_cell_length_b 4.1314
_cell_length_c 7.7401
_cell_angle_alpha 90.00
_cell_angle_beta 93.07
_cell_angle_gamma 90.00
loop_
_symmetry_equiv_pos_as_xyz
'x,y,z'
'-x,-y,-z'
'-x,y,-z'
'x,-y,z'
'x+1/2,y+1/2,z'
'-x+1/2,-y+1/2,-z'
'-x+1/2,y+1/2,-z'
'x+1/2,-y+1/2,z'
loop_
_atom_site_label
_atom_site_fract_x
_atom_site_fract_y
_atom_site_fract_z
_atom_site_occupancy
Nd1 0.0000 0.0000 0.0000 1
Nd2 0.1352 0.5000 0.0102 1
Nd3 0.1627 0.5000 0.4964 1
Sm1 0.2323 0.0000 0.8148 1
Te1 0.0493 0.5000 0.2746 1
Te2 0.0997 0.0000 0.7265 1
# Fermi-level density of states: 1.171 states/eV per atom
# raw formation energy: -7.16 eV per formula unit